Computed, not measured: crystalline MnCdGeO4 at its relaxed geometry at the GGA+U level of DFT.

```
MnCdGeO4
1.0
-4.4000 3.1847 0.8037
-0.5534 -3.8895 -3.8359
-2.2478 -4.2836 4.6677
Mn O Ge Cd
2 8 2 2
direct
0.5000 0.5000 0.0000
0.5000 0.5000 0.5000
0.7297 0.2703 0.9574
0.2703 0.7297 0.4574
0.7293 0.7915 0.7500
0.7297 0.2703 0.5426
0.2707 0.2085 0.2500
0.2085 0.2707 0.7500
0.2703 0.7297 0.0426
0.7915 0.7293 0.2500
0.1538 0.8462 0.2500
0.8462 0.1538 0.7500
0.1719 0.8281 0.7500
0.8281 0.1719 0.2500
```

* volume: 13.05 Å³ per atom
* E: -6.208 eV per atom